VASP calculation (GGA-PBE) on a relaxed Ba2SrBr crystal. Values from VASP.

- formation energy from raw total energies (eV/atom) = -0.41
- uncorrected energy (eV for the cell shown) = -8.86
- DOS(E_F) (states/eV/atom) = 1.20
- calculated density (g cm⁻³) = 3.48
- spin magnetization (Bohr magnetons per cell) = 0.0

The structure in Quantum ESPRESSO input format:
```
&SYSTEM
  ibrav = 0, nat = 4, ntyp = 3
/
ATOMIC_SPECIES
Ba 137.33 Ba.upf
Sr 87.62 Sr.upf
Br 79.90 Br.upf
CELL_PARAMETERS angstrom
-3.7242 2.1319 7.1078
-7.4578 -2.6013 2.5593
7.2102 -2.7051 -3.1034
ATOMIC_POSITIONS angstrom
Ba 0.0000 0.0000 0.0000
Ba -2.9193 -2.7706 2.1448
Sr -1.0525 -0.4039 4.4190
Br -5.5910 -0.2347 4.8336
```

---

VASP calculation (GGA-PBE) on a relaxed NbSbI2O crystal. Values from VASP.

- formation energy from raw total energies (eV/atom) = 0.65
- uncorrected energy (eV for the cell shown) = -19.00
- DOS(E_F) (states/eV/atom) = 0.47
- calculated density (g cm⁻³) = 6.79
- spin magnetization (Bohr magnetons per cell) = 2.6

The structure in Quantum ESPRESSO input format:
```
&SYSTEM
  ibrav = 0, nat = 5, ntyp = 4
/
ATOMIC_SPECIES
I 126.90 I.upf
O 16.00 O.upf
Sb 121.76 Sb.upf
Nb 92.91 Nb.upf
CELL_PARAMETERS angstrom
5.0661 0.0000 0.0000
0.0000 5.0661 0.0000
0.0000 0.0000 4.6182
ATOMIC_POSITIONS angstrom
I 0.0000 2.5330 0.0000
O 0.0000 0.0000 0.0000
Sb 0.0000 0.0000 2.3091
I 2.5330 0.0000 0.0000
Nb 2.5330 2.5330 2.3091
```